Record 1
VASP calculation (GGA-PBE) on a relaxed structure of Sm2Dy6HoTm3.

Summary:
* final energy: -54.81 eV for the cell shown
* energy relative to the elements: 0.23 eV per formula unit
* ρ: 8.60 g/cm³

Unit cell a=6.129 b=6.129 c=11.728 alpha=94.98 beta=94.98 gamma=119.95
Fractional coordinates of all 12 atoms:
Sm 0.333 0.667 0.000
Sm 0.667 0.333 0.000
Dy 0.915 0.582 0.747
Dy 0.752 0.752 0.253
Dy 0.085 0.418 0.253
Dy 0.582 0.915 0.747
Dy 0.248 0.248 0.747
Dy 0.418 0.085 0.253
Ho 0.000 0.000 0.000
Tm 0.166 0.834 0.500
Tm 0.834 0.166 0.500
Tm 0.500 0.500 0.500

=====

Record 2
VASP calculation (GGA-PBE) on a relaxed structure of SmDyY2Ho6.

Summary:
* final energy: -96.91 eV for the cell shown
* energy relative to the elements: 1.26 eV per formula unit
* ρ: 7.66 g/cm³

Unit cell a=9.456 b=8.773 c=8.773 alpha=117.42 beta=93.33 gamma=93.33
Fractional coordinates of all 20 atoms:
Sm 0.250 0.972 0.028
Sm 0.750 0.028 0.972
Dy 0.250 0.410 0.590
Dy 0.750 0.590 0.410
Y 0.453 0.801 0.698
Y 0.047 0.302 0.199
Y 0.547 0.199 0.302
Y 0.953 0.698 0.801
Ho 0.058 0.123 0.753
Ho 0.442 0.247 0.877
Ho 0.942 0.877 0.247
Ho 0.558 0.753 0.123
Ho 0.316 0.983 0.434
Ho 0.184 0.566 0.017
Ho 0.684 0.017 0.566
Ho 0.816 0.434 0.983
Ho 0.117 0.709 0.487
Ho 0.383 0.513 0.291
Ho 0.883 0.291 0.513
Ho 0.617 0.487 0.709

=====

Record 3
VASP calculation (GGA-PBE) on a relaxed structure of SmDyYHo.

Summary:
* distance to the lowest polymorph of the same formula: 113.5 meV/atom
* final energy: -19.83 eV for the cell shown
* energy relative to the elements: 0.54 eV per formula unit
* ρ: 7.23 g/cm³

Unit cell a=5.689 b=5.689 c=5.689 alpha=60.00 beta=60.00 gamma=60.00
Fractional coordinates of all 4 atoms:
Y 0.250 0.250 0.250
Ho 0.750 0.750 0.750
Sm 0.000 0.000 0.000
Dy 0.500 0.500 0.500

=====

Record 4
VASP calculation (GGA-PBE) on a relaxed structure of SmDy4Y2Ho2.

Summary:
* final energy: -45.21 eV for the cell shown
* energy relative to the elements: 0.00 eV per formula unit
* ρ: 7.58 g/cm³

Unit cell a=3.586 b=9.481 c=9.530 alpha=115.23 beta=90.00 gamma=100.90
Fractional coordinates of all 9 atoms:
Sm 0.000 0.000 0.000
Dy 0.815 0.629 0.665
Dy 0.185 0.371 0.335
Dy 0.519 0.037 0.334
Dy 0.481 0.963 0.666
Y 0.852 0.705 0.334
Y 0.148 0.295 0.666
Ho 0.332 0.665 0.998
Ho 0.668 0.335 0.002

=====

Record 5
VASP calculation (GGA-PBE) on a relaxed structure of Sm2Dy4YHo2.

Summary:
* final energy: -43.40 eV for the cell shown
* energy relative to the elements: 0.07 eV per formula unit
* ρ: 7.88 g/cm³

Unit cell a=3.595 b=9.502 c=9.549 alpha=115.24 beta=90.00 gamma=100.90
Fractional coordinates of all 9 atoms:
Sm 0.852 0.704 0.333
Sm 0.148 0.296 0.667
Dy 0.815 0.630 0.667
Dy 0.185 0.370 0.333
Dy 0.519 0.038 0.333
Dy 0.481 0.962 0.667
Y 0.000 0.000 0.000
Ho 0.333 0.666 0.999
Ho 0.667 0.334 0.001

=====

Record 6
VASP calculation (GGA-PBE) on a relaxed structure of Sm2Dy2YHo2.

Summary:
* final energy: -33.26 eV for the cell shown
* energy relative to the elements: 1.00 eV per formula unit
* ρ: 7.62 g/cm³

Unit cell a=5.680 b=5.680 c=8.782 alpha=71.13 beta=71.13 gamma=60.00
Fractional coordinates of all 7 atoms:
Sm 0.140 0.140 0.581
Sm 0.860 0.860 0.419
Dy 0.717 0.717 0.850
Dy 0.283 0.283 0.150
Y 0.000 0.000 0.000
Ho 0.574 0.574 0.279
Ho 0.426 0.426 0.721